1.
Here is a relaxed Pm2GaSn3Pd4 crystal from Alexandria. Energies are from GGA-PBE.

Cell lengths 4.497, 4.497, 10.734 Å; angles 90.00, 90.00, 90.00 degrees
Fractional coordinates of all 10 atoms:
1 Ga 0.500 0.500 0.500
2 Pm 0.000 0.500 0.747
3 Pm 0.500 0.000 0.253
4 Sn 0.000 0.500 0.132
5 Pd 0.500 0.500 0.000
6 Pd 0.000 0.000 0.000
7 Sn 0.000 0.000 0.500
8 Pd 0.000 0.500 0.374
9 Pd 0.500 0.000 0.626
10 Sn 0.500 0.000 0.868

Calculated values
Symmetry: P-4m2 (115)
Raw total energy in eV/atom: -5.297
Formation enthalpy at 0 K in eV per atom: -0.766

2.
Here is a relaxed Ba3Au2 crystal from Alexandria. Energies are from GGA-PBE.

Cell lengths 11.825, 11.825, 11.825 Å; angles 23.26, 23.26, 23.26 degrees
Fractional coordinates of all 5 atoms:
1 Ba 0.224 0.224 0.224
2 Ba 0.776 0.776 0.776
3 Au 0.391 0.391 0.391
4 Ba 0.000 0.000 0.000
5 Au 0.609 0.609 0.609

Calculated values
Symmetry: R-3m (166)
Raw total energy in eV/atom: -3.045
Formation enthalpy at 0 K in eV per atom: -0.580

3.
Here is a relaxed PrVPd crystal from Alexandria. Energies are from GGA-PBE.

Cell lengths 5.101, 3.609, 9.951 Å; angles 90.00, 90.00, 134.96 degrees
Fractional coordinates of all 6 atoms:
1 V 0.695 0.389 0.597
2 Pr 0.194 0.389 0.818
3 Pd 0.195 0.389 0.500
4 V 0.695 0.389 0.403
5 Pd 0.694 0.388 0.000
6 Pr 0.194 0.389 0.182

Calculated values
Symmetry: Cmmm (65)
Raw total energy in eV/atom: -6.416
Formation enthalpy at 0 K in eV per atom: -0.053

4.
Here is a relaxed Pm2H2Au crystal from Alexandria. Energies are from GGA-PBE.

Cell lengths 3.736, 3.736, 6.935 Å; angles 105.62, 105.62, 90.00 degrees
Fractional coordinates of all 5 atoms:
1 H 0.750 0.250 0.500
2 Pm 0.644 0.644 0.287
3 Au 0.000 0.000 0.000
4 Pm 0.356 0.356 0.713
5 H 0.250 0.750 0.500

Calculated values
Symmetry: I4/mmm (139)
Raw total energy in eV/atom: -4.595

> Which formula does entry 2 have?

Ba3Au2